Pm3Pr4Y4 | PBE-GGA | optimized geometry

Output
E = -57.63 eV for the cell shown
total magnetic moment = 0.00 μB/cell
ΔH_f (0 K) = 0.145 eV/atom
ΔE to the lowest computed polymorph = 0.22 eV per formula unit

abc: 10.825 6.758 6.758
angles: 50.86 90.00 90.00
Positions (direct):
Pm 0.000 0.000 0.000
Pm 0.293 0.153 0.153
Pm 0.707 0.153 0.153
Pr 0.000 0.707 0.707
Pr 0.210 0.504 0.504
Pr 0.500 0.627 0.627
Pr 0.790 0.504 0.504
Y 0.000 0.301 0.301
Y 0.301 0.849 0.849
Y 0.500 0.355 0.355
Y 0.699 0.849 0.849


EuLuSb2 | PBE-GGA | optimized geometry

Output
formation energy from raw total energies = -0.95 eV/atom
E = -26.86 eV for the cell shown
total magnetic moment = 6.60 μB/cell
ΔE to the lowest computed polymorph = 0.00 eV per formula unit

abc: 7.786 7.786 7.786
angles: 32.99 32.99 32.99
Positions (direct):
Eu 0.000 0.000 0.000
Lu 0.500 0.500 0.500
Sb 0.244 0.244 0.244
Sb 0.756 0.756 0.756


ScAg3N | PBE-GGA | optimized geometry

Output
formation energy from raw total energies = 0.57 eV/atom
E = -20.37 eV for the cell shown
total magnetic moment = 0.00 μB/cell

abc: 4.462 4.462 4.462
angles: 90.00 90.00 90.00
Positions (direct):
Sc 0.000 0.000 0.000
Ag 0.000 0.500 0.500
Ag 0.500 0.000 0.500
Ag 0.500 0.500 0.000
N 0.500 0.500 0.500


Ca3PaNi8 | PBE-GGA | optimized geometry

Output
E = -64.62 eV for the cell shown
total magnetic moment = 0.00 μB/cell
ΔH_f (0 K) = -0.239 eV/atom

abc: 8.758 8.758 8.758
angles: 33.72 33.72 33.72
Positions (direct):
Ca 0.000 0.000 0.000
Ca 0.123 0.123 0.123
Ca 0.491 0.491 0.491
Pa 0.620 0.620 0.620
Ni 0.048 0.558 0.558
Ni 0.058 0.058 0.567
Ni 0.058 0.567 0.058
Ni 0.308 0.308 0.308
Ni 0.558 0.048 0.558
Ni 0.558 0.558 0.048
Ni 0.567 0.058 0.058
Ni 0.808 0.808 0.808